Record 1
Compound: Dy2HfAu
Source: Alexandria via LeMat-Bulk
Functional: PBE-GGA
Structure: optimized geometry

Unit cell a=3.4327 b=3.4327 c=8.4446 alpha=90.00 beta=90.00 gamma=90.00
Sites, in units of the cell vectors:
1 Dy 0.0000 0.0000 0.7697
2 Au 0.5000 0.5000 0.0000
3 Hf 0.5000 0.5000 0.5000
4 Dy 0.0000 0.0000 0.2303

## Properties
**Total magnetization**: 0.0 μB/f.u.
**Crystal system**: tetragonal
**Final energy**: -5.946 eV per atom

Record 2
Compound: DyHfAu2
Source: Alexandria via LeMat-Bulk
Functional: PBE-GGA
Structure: optimized geometry

Unit cell a=3.4497 b=3.4497 c=7.2049 alpha=90.00 beta=90.00 gamma=90.00
Sites, in units of the cell vectors:
1 Hf 0.5000 0.5000 0.0000
2 Au 0.0000 0.0000 0.2209
3 Au 0.0000 0.0000 0.7791
4 Dy 0.5000 0.5000 0.5000

## Properties
**Relative energy among the computed polymorphs**: 0.000 eV per atom
**Total magnetization**: 0.0 μB/f.u.
**Crystal system**: tetragonal
**Final energy**: -5.890 eV per atom